Below is a relaxed SrScSe2N crystal, with properties calculated at the PBE-GGA level. Values from VASP.

Geometry as Quantum ESPRESSO input:
```
&SYSTEM
  ibrav = 0, nat = 5, ntyp = 4
/
ATOMIC_SPECIES
Sc 44.96 Sc.upf
Sr 87.62 Sr.upf
Se 78.96 Se.upf
N 14.01 N.upf
CELL_PARAMETERS angstrom
-0.129 -5.002 2.672
3.905 1.859 3.670
-3.322 1.553 2.748
ATOMIC_POSITIONS angstrom
Sc 0.227 -0.795 4.545
Sr 0.000 0.000 0.000
Se 1.953 0.930 1.835
Se -0.065 -2.501 1.336
N -1.661 0.777 1.374
```

Properties
Raw formation energy (eV/atom): 0.361
Relative energy among the computed polymorphs (meV per atom): 1322.0
Total energy (eV per atom): -4.301
Magnetic moment (μB/cell): 2.01